Record 1
The following is a DFT calculation (PBE) of a relaxed structure of La4SnPS2.

Lattice parameters (Å, degrees): 4.322 7.452 7.535 70.37 90.00 90.00
Fractional coordinates of all 8 atoms:
La: 0.000 0.761 0.735
La: 0.000 0.239 0.265
La: 0.500 0.751 0.260
La: 0.500 0.249 0.740
Sn: 0.500 0.500 0.000
P: 0.000 0.500 0.500
S: 0.000 0.000 0.000
S: 0.500 0.000 0.500

Results
Total energy = -6.3019 eV per atom
Magnetization = 0.00 μB per atom
Crystal system = monoclinic

---

Record 2
The following is a DFT calculation (PBE) of a relaxed structure of LaSnP2S.

Lattice parameters (Å, degrees): 5.444 5.444 5.409 90.00 90.00 90.00
Each line ends with the local moment (μB).
Fractional coordinates of all 5 atoms:
P: 0.000 0.500 0.000  0.16
P: 0.500 0.000 0.000  0.16
S: 0.000 0.000 0.500  0.04
Sn: 0.500 0.500 0.500  -0.01
La: 0.000 0.000 0.000  0.09

Results
Total energy = -4.4224 eV per atom
Magnetization = 0.16 μB per atom
Crystal system = tetragonal
Excess energy over the best structure of this formula in the dataset = 541 meV/atom

---

Record 3
The following is a DFT calculation (PBE) of a relaxed structure of SrLaP2S.

Lattice parameters (Å, degrees): 5.422 5.422 5.471 90.00 90.00 90.00
Each line ends with the local moment (μB).
Fractional coordinates of all 5 atoms:
Sr: 0.500 0.500 0.500  0.00
S: 0.000 0.000 0.500  0.03
P: 0.000 0.500 0.000  0.12
P: 0.500 0.000 0.000  0.12
La: 0.000 0.000 0.000  0.08

Results
Total energy = -4.7675 eV per atom
Magnetization = 0.12 μB per atom
Crystal system = tetragonal
Excess energy over the best structure of this formula in the dataset = 0 meV/atom

---

Record 4
The following is a DFT calculation (PBE) of a relaxed structure of SrLaP2S.

Lattice parameters (Å, degrees): 5.209 5.209 5.336 90.00 90.00 90.00
Fractional coordinates of all 5 atoms:
Sr: 0.000 0.000 0.000
S: 0.000 0.000 0.500
P: 0.000 0.500 0.000
P: 0.500 0.000 0.000
La: 0.500 0.500 0.500

Results
Total energy = -4.3773 eV per atom
Magnetization = 0.00 μB per atom
Crystal system = tetragonal
Excess energy over the best structure of this formula in the dataset = 390 meV/atom

---

Record 5
The following is a DFT calculation (PBE) of a relaxed structure of SrLaPS.

Lattice parameters (Å, degrees): 4.298 4.298 7.444 73.22 73.22 60.00
Fractional coordinates of all 4 atoms:
Sr: 0.749 0.749 0.753
La: 0.254 0.254 0.239
P: 0.994 0.994 0.017
S: 0.503 0.503 0.490

Results
Total energy = -5.8385 eV per atom
Magnetization = 0.00 μB per atom
Crystal system = trigonal

---

Record 6
The following is a DFT calculation (PBE) of a relaxed structure of SrLaPS2.

Lattice parameters (Å, degrees): 5.319 5.319 5.196 90.00 90.00 90.00
Fractional coordinates of all 5 atoms:
Sr: 0.000 0.000 0.000
S: 0.000 0.500 0.000
S: 0.500 0.000 0.000
P: 0.000 0.000 0.500
La: 0.500 0.500 0.500

Results
Total energy = -4.5082 eV per atom
Magnetization = 0.00 μB per atom
Crystal system = tetragonal
Excess energy over the best structure of this formula in the dataset = 446 meV/atom

---

Record 7
The following is a DFT calculation (PBE) of a relaxed structure of SrLaPS2.

Lattice parameters (Å, degrees): 5.473 5.473 5.382 90.00 90.00 90.00
Each line ends with the local moment (μB).
Fractional coordinates of all 5 atoms:
Sr: 0.500 0.500 0.500  0.00
S: 0.000 0.500 0.000  0.01
S: 0.500 0.000 0.000  0.01
P: 0.000 0.000 0.500  0.10
La: 0.000 0.000 0.000  0.04

Results
Total energy = -4.9545 eV per atom
Magnetization = 0.05 μB per atom
Crystal system = tetragonal
Excess energy over the best structure of this formula in the dataset = 0 meV/atom

---

Record 8
The following is a DFT calculation (PBE) of a relaxed structure of SrLaP2S8.

Lattice parameters (Å, degrees): 6.039 6.039 9.531 90.00 90.00 120.00
Fractional coordinates of all 12 atoms:
Sr: 0.000 0.000 0.000
La: 0.000 0.000 0.500
P: 0.667 0.333 0.229
P: 0.333 0.667 0.771
S: 0.333 0.667 0.984
S: 0.349 0.349 0.291
S: 0.651 0.000 0.291
S: 0.667 0.333 0.016
S: 0.349 0.000 0.709
S: 0.651 0.651 0.709
S: 0.000 0.349 0.709
S: 0.000 0.651 0.291

Results
Total energy = -5.0283 eV per atom
Magnetization = 0.00 μB per atom
Crystal system = trigonal

---

Record 9
The following is a DFT calculation (PBE) of a relaxed structure of LaTaPS2.

Lattice parameters (Å, degrees): 5.314 5.314 5.372 90.00 90.00 90.00
Each line ends with the local moment (μB).
Fractional coordinates of all 5 atoms:
P: 0.000 0.000 0.500  -0.40
S: 0.000 0.500 0.000  -0.22
S: 0.500 0.000 0.000  -0.22
La: 0.000 0.000 0.000  -0.08
Ta: 0.500 0.500 0.500  2.02

Results
Total energy = -5.1860 eV per atom
Magnetization = 0.28 μB per atom
Crystal system = tetragonal
Excess energy over the best structure of this formula in the dataset = 1975 meV/atom

---

Record 10
The following is a DFT calculation (PBE) of a relaxed structure of LaTaPS2.

Lattice parameters (Å, degrees): 4.754 4.754 4.913 90.00 90.00 90.00
Fractional coordinates of all 5 atoms:
P: 0.000 0.000 0.500
S: 0.000 0.500 0.000
S: 0.500 0.000 0.000
La: 0.500 0.500 0.500
Ta: 0.000 0.000 0.000

Results
Total energy = -7.1607 eV per atom
Magnetization = 0.00 μB per atom
Crystal system = tetragonal
Excess energy over the best structure of this formula in the dataset = 0 meV/atom

---

Record 11
The following is a DFT calculation (PBE) of a relaxed structure of LaTaP2S.

Lattice parameters (Å, degrees): 4.838 4.838 4.786 90.00 90.00 90.00
Fractional coordinates of all 5 atoms:
P: 0.000 0.500 0.000
P: 0.500 0.000 0.000
S: 0.000 0.000 0.500
La: 0.500 0.500 0.500
Ta: 0.000 0.000 0.000

Results
Total energy = -7.1865 eV per atom
Magnetization = 0.00 μB per atom
Crystal system = tetragonal
Excess energy over the best structure of this formula in the dataset = 0 meV/atom

---

Record 12
The following is a DFT calculation (PBE) of a relaxed structure of LaTaP2S.

Lattice parameters (Å, degrees): 5.276 5.276 5.272 90.00 90.00 90.00
Each line ends with the local moment (μB).
Fractional coordinates of all 5 atoms:
P: 0.000 0.500 0.000  -0.30
P: 0.500 0.000 0.000  -0.30
S: 0.000 0.000 0.500  -0.19
La: 0.000 0.000 0.000  -0.16
Ta: 0.500 0.500 0.500  1.93

Results
Total energy = -5.0945 eV per atom
Magnetization = 0.24 μB per atom
Crystal system = tetragonal
Excess energy over the best structure of this formula in the dataset = 2092 meV/atom

---

Record 13
The following is a DFT calculation (PBE) of a relaxed structure of LaTcPS2.

Lattice parameters (Å, degrees): 4.841 4.841 4.458 90.00 90.00 90.00
Each line ends with the local moment (μB).
Fractional coordinates of all 5 atoms:
P: 0.000 0.000 0.500  -0.03
S: 0.000 0.500 0.000  0.04
S: 0.500 0.000 0.000  0.04
Tc: 0.000 0.000 0.000  0.64
La: 0.500 0.500 0.500  0.02

Results
Total energy = -6.4954 eV per atom
Magnetization = 0.16 μB per atom
Crystal system = tetragonal
Excess energy over the best structure of this formula in the dataset = 0 meV/atom

---

Record 14
The following is a DFT calculation (PBE) of a relaxed structure of LaTcP2S.

Lattice parameters (Å, degrees): 5.470 5.470 5.361 90.00 90.00 90.00
Each line ends with the local moment (μB).
Fractional coordinates of all 5 atoms:
P: 0.000 0.500 0.000  -0.26
P: 0.500 0.000 0.000  -0.26
S: 0.000 0.000 0.500  -0.12
Tc: 0.500 0.500 0.500  3.97
La: 0.000 0.000 0.000  -0.07

Results
Total energy = -4.8509 eV per atom
Magnetization = 0.64 μB per atom
Crystal system = tetragonal
Excess energy over the best structure of this formula in the dataset = 1781 meV/atom

---

Record 15
The following is a DFT calculation (PBE) of a relaxed structure of LaTc2PS.

Lattice parameters (Å, degrees): 4.360 5.513 4.360 90.00 90.00 90.00
Fractional coordinates of all 5 atoms:
P: 0.500 0.500 0.500
S: 0.000 0.000 0.000
Tc: 0.000 0.000 0.500
Tc: 0.500 0.000 0.000
La: 0.000 0.500 0.000

Results
Total energy = -6.9347 eV per atom
Magnetization = 0.00 μB per atom
Crystal system = tetragonal

---

Record 16
The following is a DFT calculation (PBE) of a relaxed structure of LaTcPS2.

Lattice parameters (Å, degrees): 5.400 5.400 5.439 90.00 90.00 90.00
Each line ends with the local moment (μB).
Fractional coordinates of all 5 atoms:
P: 0.000 0.000 0.500  0.16
S: 0.000 0.500 0.000  0.04
S: 0.500 0.000 0.000  0.04
Tc: 0.500 0.500 0.500  4.01
La: 0.000 0.000 0.000  0.07

Results
Total energy = -4.9724 eV per atom
Magnetization = 1.02 μB per atom
Crystal system = tetragonal
Excess energy over the best structure of this formula in the dataset = 1523 meV/atom

---

Record 17
The following is a DFT calculation (PBE) of a relaxed structure of LaTcP2S.

Lattice parameters (Å, degrees): 4.501 4.501 5.212 90.00 90.00 90.00
Fractional coordinates of all 5 atoms:
P: 0.000 0.500 0.000
P: 0.500 0.000 0.000
S: 0.000 0.000 0.500
Tc: 0.000 0.000 0.000
La: 0.500 0.500 0.500

Results
Total energy = -6.6318 eV per atom
Magnetization = 0.00 μB per atom
Crystal system = tetragonal
Excess energy over the best structure of this formula in the dataset = 0 meV/atom

---

Record 18
The following is a DFT calculation (PBE) of a relaxed structure of La4Te2PS.

Lattice parameters (Å, degrees): 4.335 7.497 7.822 108.66 90.00 90.00
Fractional coordinates of all 8 atoms:
La: 0.500 0.236 0.214
La: 0.500 0.764 0.786
La: 0.000 0.260 0.787
La: 0.000 0.740 0.213
Te: 0.500 0.000 0.500
Te: 0.000 0.500 0.500
P: 0.000 0.000 0.000
S: 0.500 0.500 0.000

Results
Total energy = -6.2207 eV per atom
Magnetization = 0.00 μB per atom
Crystal system = monoclinic

---

Record 19
The following is a DFT calculation (PBE) of a relaxed structure of La6TeP2S3.

Lattice parameters (Å, degrees): 4.257 8.584 9.520 102.34 102.92 90.00
Fractional coordinates of all 12 atoms:
La: 0.325 0.904 0.649
La: 0.668 0.580 0.337
La: 0.675 0.096 0.351
La: 0.003 0.275 0.006
La: 0.997 0.725 0.994
La: 0.332 0.420 0.663
Te: 0.500 0.000 0.000
P: 0.833 0.666 0.665
P: 0.167 0.334 0.335
S: 0.500 0.500 0.000
S: 0.836 0.166 0.673
S: 0.164 0.834 0.327

Results
Total energy = -6.5514 eV per atom
Magnetization = 0.00 μB per atom
Crystal system = monoclinic

---

Record 20
The following is a DFT calculation (PBE) of a relaxed structure of La8Te4P3S.

Lattice parameters (Å, degrees): 8.685 8.974 8.686 118.94 120.00 90.00
Fractional coordinates of all 16 atoms:
La: 0.240 0.715 0.975
La: 0.240 0.715 0.479
La: 0.262 0.285 0.523
La: 0.736 0.715 0.975
La: 0.264 0.285 0.025
La: 0.738 0.715 0.477
La: 0.760 0.285 0.521
La: 0.760 0.285 0.025
Te: 0.500 0.000 0.000
Te: 0.500 0.000 0.500
Te: 0.000 0.000 0.000
Te: 0.000 0.000 0.500
P: 0.500 0.500 0.000
P: 0.500 0.500 0.500
P: 0.000 0.500 0.500
S: 0.000 0.500 0.000

Results
Total energy = -6.2437 eV per atom
Magnetization = 0.00 μB per atom
Crystal system = trigonal

---

Record 21
The following is a DFT calculation (PBE) of a relaxed structure of La6Te3P2S.

Lattice parameters (Å, degrees): 4.345 8.952 9.949 105.36 102.61 90.00
Fractional coordinates of all 12 atoms:
La: 0.340 0.896 0.680
La: 0.675 0.564 0.349
La: 0.660 0.104 0.320
La: 0.009 0.231 0.017
La: 0.991 0.769 0.983
La: 0.325 0.436 0.651
Te: 0.500 0.500 0.000
Te: 0.834 0.167 0.668
Te: 0.166 0.833 0.332
P: 0.834 0.668 0.667
P: 0.166 0.332 0.333
S: 0.500 0.000 0.000

Results
Total energy = -6.2349 eV per atom
Magnetization = 0.00 μB per atom
Crystal system = monoclinic

---

Record 22
The following is a DFT calculation (PBE) of a relaxed structure of La8Te3P3S.

Lattice parameters (Å, degrees): 8.621 8.621 8.926 118.87 90.00 120.00
Fractional coordinates of all 15 atoms:
La: 0.262 0.524 0.285
La: 0.738 0.476 0.715
La: 0.762 0.524 0.286
La: 0.238 0.476 0.714
La: 0.762 0.024 0.286
La: 0.238 0.976 0.714
La: 0.262 0.024 0.286
La: 0.738 0.976 0.714
Te: 0.000 0.000 0.000
Te: 0.000 0.500 0.000
Te: 0.500 0.500 0.000
P: 0.500 0.000 0.500
P: 0.500 0.500 0.500
P: 0.000 0.500 0.500
S: 0.000 0.000 0.500

Results
Total energy = -6.1869 eV per atom
Magnetization = 0.04 μB per atom
Crystal system = trigonal

---

Record 23
The following is a DFT calculation (PBE) of a relaxed structure of La2TiPS.

Lattice parameters (Å, degrees): 5.489 4.397 5.489 90.00 90.00 90.00
Fractional coordinates of all 5 atoms:
P: 0.500 0.500 0.500
S: 0.000 0.500 0.000
Ti: 0.000 0.000 0.000
La: 0.000 0.000 0.500
La: 0.500 0.000 0.000

Results
Total energy = -5.8166 eV per atom
Magnetization = 0.00 μB per atom
Crystal system = tetragonal

---

Record 24
The following is a DFT calculation (PBE) of a relaxed structure of LaTiP2S.

Lattice parameters (Å, degrees): 4.681 4.681 4.830 90.00 90.00 90.00
Fractional coordinates of all 5 atoms:
P: 0.000 0.500 0.000
P: 0.500 0.000 0.000
S: 0.000 0.000 0.500
Ti: 0.000 0.000 0.000
La: 0.500 0.500 0.500

Results
Total energy = -6.5522 eV per atom
Magnetization = 0.00 μB per atom
Crystal system = tetragonal
Excess energy over the best structure of this formula in the dataset = 0 meV/atom

---

Record 25
The following is a DFT calculation (PBE) of a relaxed structure of LaTiP2S.

Lattice parameters (Å, degrees): 5.344 5.344 5.358 90.00 90.00 90.00
Each line ends with the local moment (μB).
Fractional coordinates of all 5 atoms:
P: 0.000 0.500 0.000  -0.27
P: 0.500 0.000 0.000  -0.27
S: 0.000 0.000 0.500  -0.14
Ti: 0.500 0.500 0.500  1.79
La: 0.000 0.000 0.000  -0.14

Results
Total energy = -4.9177 eV per atom
Magnetization = 0.13 μB per atom
Crystal system = tetragonal
Excess energy over the best structure of this formula in the dataset = 1634 meV/atom

---

Record 26
The following is a DFT calculation (PBE) of a relaxed structure of LaTmPS.

Lattice parameters (Å, degrees): 3.968 3.969 7.392 90.00 105.56 120.01
Each line ends with the local moment (μB).
Fractional coordinates of all 4 atoms:
La: 0.481 0.138 0.634  0.11
Tm: 0.126 0.961 0.102  0.04
P: 0.318 0.557 0.890  -0.01
S: 0.953 0.375 0.343  0.00

Results
Total energy = -6.5203 eV per atom
Magnetization = 0.08 μB per atom
Crystal system = trigonal

---

Looking at formation energy (no corrections) for the records above, in order, we have -1.630, 0.353, -0.456, -0.066, -1.802, -0.453, -0.900, -0.824, 0.903, -1.072, -0.841, 1.251, -0.704, 1.197, 0.105, 0.819, -0.584, -1.779, -1.892, -1.722, -1.740, -1.574, -0.359, -0.998, 0.636, -1.786 eV per atom.